1.
ZnCuTe2I: relaxed, PBE.

The structure belongs to space group P4/mmm (No. 123); the cell edges are 5.275, 5.275 and 5.700 Å and the angles 90.00°, 90.00° and 90.00°. The inequivalent atoms are Zn at (0.000, 0.000, 0.000), Cu at (0.500, 0.500, 0.500), Te at (0.000, 0.500, 0.000) and I at (0.000, 0.000, 0.500).

For the total energy, the calculation gives -1.977 eV per atom. Its energy relative to the elements, uncorrected is 0.66 eV per atom. The total moment is 0.0 μB per formula unit. Its energy above the most stable polymorph in this dataset is 215.3 meV/atom.

2.
GdNpGa2: relaxed, PBE.

The structure belongs to space group Fm-3m (No. 225); the cell edges are 7.164, 7.164 and 7.164 Å and the angles 90.00°, 90.00° and 90.00°. The inequivalent atoms are Gd at (0.000, 0.000, 0.000), Np at (0.000, 0.000, 0.500) and Ga at (0.250, 0.250, 0.250).

For the total energy, the calculation gives -8.499 eV per atom. The total moment is 11.5 μB per formula unit. Its formation energy is -89 kJ/mol of formula units.

3.
LaFeRe4: relaxed, PBE.

The structure belongs to space group F-43m (No. 216); the cell edges are 7.597, 7.597 and 7.597 Å and the angles 90.00°, 90.00° and 90.00°. The inequivalent atoms are La at (0.000, 0.000, 0.000), Fe at (0.250, 0.250, 0.750) and Re at (0.124, 0.124, 0.376).

For the total energy, the calculation gives -10.049 eV per atom. The total moment is 3.5 μB per formula unit. Its formation energy is 279 kJ/mol of formula units.

4.
Th2Zr5Sc12: relaxed, PBE.

The structure belongs to space group C2/m (No. 12); the cell edges are 16.057, 6.500 and 9.962 Å and the angles 90.00°, 104.58° and 90.00°. The inequivalent atoms are Th at (0.000, 0.245, 0.000), Zr at (0.000, 0.500, 0.500), Zr at (0.148, 0.000, 0.912), Zr at (0.236, 0.500, 0.492), Sc at (0.049, 0.500, 0.274), Sc at (0.051, 0.000, 0.337), Sc at (0.123, 0.238, 0.647) and Sc at (0.194, 0.248, 0.197).

For the total energy, the calculation gives -6.633 eV per atom. The total moment is 0.8 μB per formula unit. Its formation energy is 727 kJ/mol of formula units.

5.
La2Dy3ThSe6: relaxed, PBE.

The structure belongs to space group C2/m (No. 12); the cell edges are 18.374, 4.128 and 8.448 Å and the angles 90.00°, 105.46° and 90.00°. The inequivalent atoms are La at (0.163, 0.000, 0.328), Dy at (0.000, 0.500, 0.500), Dy at (0.167, 0.000, 0.834), Th at (0.000, 0.500, 0.000), Se at (0.006, 0.000, 0.743), Se at (0.164, 0.500, 0.593) and Se at (0.170, 0.500, 0.070).

For the total energy, the calculation gives -6.126 eV per atom. Its energy relative to the elements, uncorrected is -1.79 eV per atom. The total moment is 0.0 μB per formula unit.

6.
NiAs2: relaxed, PBE.

The structure belongs to space group I4/mmm (No. 139); the cell edges are 3.538, 3.538 and 7.758 Å and the angles 90.00°, 90.00° and 90.00°. The inequivalent atoms are Ni at (0.000, 0.000, 0.000) and As at (0.000, 0.000, 0.329).

For the total energy, the calculation gives -4.764 eV per atom. The total moment is 0.0 μB per formula unit. Its formation energy is 76 kJ/mol of formula units.

7.
Th6AsP2Os3: relaxed, PBE.

The structure belongs to space group C2/m (No. 12); the cell edges are 18.345, 4.134 and 8.443 Å and the angles 90.00°, 105.01° and 90.00°. The inequivalent atoms are Th at (0.003, 0.000, 0.236), Th at (0.164, 0.500, 0.092), Th at (0.173, 0.500, 0.577), As at (0.000, 0.500, 0.500), P at (0.167, 0.000, 0.834), Os at (0.000, 0.500, 0.000) and Os at (0.166, 0.000, 0.332).

For the total energy, the calculation gives -8.586 eV per atom. The total moment is 0.0 μB per formula unit. Its formation energy is -903 kJ/mol of formula units.

8.
NpSc2Hg: relaxed, PBE.

The structure belongs to space group P4/mmm (No. 123); the cell edges are 3.200, 3.200 and 8.727 Å and the angles 90.00°, 90.00° and 90.00°. The inequivalent atoms are Np at (0.000, 0.000, 0.000), Sc at (0.500, 0.500, 0.260) and Hg at (0.000, 0.000, 0.500).

For the total energy, the calculation gives -6.465 eV per atom. The total moment is 3.7 μB per formula unit. Its formation energy is 4 kJ/mol of formula units.

9.
Sc3TlH: relaxed, PBE.

The structure belongs to space group P2_1/m (No. 11); the cell edges are 5.195, 6.132 and 5.837 Å and the angles 90.00°, 90.75° and 90.00°. The inequivalent atoms are Sc at (0.247, 0.004, 0.364), Sc at (0.247, 0.250, 0.873), Tl at (0.246, 0.750, 0.850) and H at (0.460, 0.250, 0.580).

For the total energy, the calculation gives -5.272 eV per atom. The total moment is 1.0 μB per formula unit. Its energy above the most stable polymorph in this dataset is 43.6 meV/atom.

10.
BeHg2Cl: relaxed, PBE.

The structure belongs to space group Cmmm (No. 65); the cell edges are 5.415, 8.683 and 3.892 Å and the angles 90.00°, 90.00° and 90.00°. The inequivalent atoms are Be at (0.000, 0.000, 0.000), Hg at (0.250, 0.250, 0.500) and Cl at (0.000, 0.500, 0.000).

For the total energy, the calculation gives -1.176 eV per atom. Its energy relative to the elements, uncorrected is 0.37 eV per atom. The total moment is 0.0 μB per formula unit. Its energy above the most stable polymorph in this dataset is 568.4 meV/atom.

11.
AcCePtCl: relaxed, PBE.

The structure belongs to space group R3m (No. 160, hexagonal axes); the cell edges are 4.2663, 4.2663 and 23.4072 Å and the angles 90.00°, 90.00° and 120.00°. The inequivalent atoms are Ac at (0.0000, 0.0000, 0.0000), Ce at (0.0000, 0.0000, 0.1952), Pt at (0.0000, 0.0000, 0.5917) and Cl at (0.0000, 0.0000, 0.7720).

For the total energy, the calculation gives -5.774 eV per atom. Its energy relative to the elements, uncorrected is -1.29 eV per atom. The total moment is 1.2 μB per formula unit.

12.
NaSb2H: relaxed, PBE.

The structure belongs to space group Fm-3m (No. 225); the cell edges are 6.958, 6.958 and 6.958 Å and the angles 90.00°, 90.00° and 90.00°. The inequivalent atoms are Na at (0.000, 0.000, 0.000), Sb at (0.250, 0.250, 0.250) and H at (0.000, 0.000, 0.500).

For the total energy, the calculation gives -2.722 eV per atom. The total moment is 0.0 μB per formula unit. Its energy above the most stable polymorph in this dataset is 545.5 meV/atom.

What did the twelfth record say?
NaSb2H: relaxed, PBE.

The structure belongs to space group Fm-3m (No. 225); the cell edges are 6.958, 6.958 and 6.958 Å and the angles 90.00°, 90.00° and 90.00°. The inequivalent atoms are Na at (0.000, 0.000, 0.000), Sb at (0.250, 0.250, 0.250) and H at (0.000, 0.000, 0.500).

For the total energy, the calculation gives -2.722 eV per atom. The total moment is 0.0 μB per formula unit. Its energy above the most stable polymorph in this dataset is 545.5 meV/atom.